w:
## Tl2HgSe (PBE-GGA)

Data for an optimized crystal structure of Tl2HgSe.

Cell lengths 5.1928, 5.1928, 4.2843 Å; angles 90.00, 90.00, 90.00 degrees
With the nearest neighbours (Å) after each atom.
Space group P4/mmm (No. 123)
Asymmetric unit:
Tl  0.0000  0.5000  0.0000 (multiplicity 2)  4 Hg 3.37, 4 Se 3.37, 4 Tl 3.67
Hg  0.0000  0.0000  0.5000 (multiplicity 1)  8 Tl 3.37, 4 Se 3.67
Se  0.5000  0.5000  0.5000 (multiplicity 1)  8 Tl 3.37, 4 Hg 3.67

Computed properties:
calculated volume = 115.5 Å³/f.u.
spin magnetization = 0.000 μB per atom

x:
## Tl2HgSe (PBE-GGA)

Data for an optimized crystal structure of Tl2HgSe.

Cell lengths 4.0198, 4.4617, 15.2191 Å; angles 90.00, 90.00, 90.00 degrees
With the nearest neighbours (Å) after each atom.
Space group Imm2 (No. 44)
Asymmetric unit:
Tl  0.0000  0.0000  0.0000 (multiplicity 2)  4 Se 3.22, 2 Hg 3.38
Tl  0.0000  0.5000  0.2178 (multiplicity 2)  2 Se 2.94
Hg  0.0000  0.5000  0.8330 (multiplicity 2)  6 Tl 3.38-3.48
Se  0.0000  0.0000  0.5770 (multiplicity 2)  6 Tl 2.94-3.22

Computed properties:
calculated volume = 136.5 Å³/f.u.
spin magnetization = 0.000 μB per atom

y:
## Tl2HgSe (PBE-GGA)

Data for an optimized crystal structure of Tl2HgSe.

Cell lengths 8.4500, 8.4500, 7.1754 Å; angles 90.00, 90.00, 90.00 degrees
With the nearest neighbours (Å) after each atom.
Space group I-42d (No. 122)
Asymmetric unit:
Tl  0.2226  0.2500  0.1250 (multiplicity 8)  2 Se 2.97, 2 Hg 3.28
Hg  0.0000  0.0000  0.5000 (multiplicity 4)  4 Tl 3.28, 2 Se 3.59
Se  0.0000  0.0000  0.0000 (multiplicity 4)  4 Tl 2.97

Computed properties:
calculated volume = 128.1 Å³/f.u.
spin magnetization = 0.000 μB per atom

Energy relative to the most stable one, in eV/atom: w 0.026; x 0.000; y 0.007

w:
## Tl2HgSe (PBE-GGA)

Data for an optimized crystal structure of Tl2HgSe.

Cell lengths 4.4688, 4.4688, 24.3659 Å; angles 90.00, 90.00, 120.00 degrees
With the nearest neighbours (Å) after each atom.
Space group R3m (No. 160, hexagonal axes)
Asymmetric unit:
Tl  0.0000  0.0000  0.0000 (multiplicity 3)  3 Se 3.07
Tl  0.0000  0.0000  0.1965 (multiplicity 3)  3 Se 3.07
Hg  0.0000  0.0000  0.4310 (multiplicity 3)  6 Tl 3.51-3.53
Se  0.0000  0.0000  0.5985 (multiplicity 3)  6 Tl 3.07

Computed properties:
calculated volume = 140.5 Å³/f.u.
spin magnetization = 0.000 μB per atom

x:
## Tl2HgSe (PBE-GGA)

Data for an optimized crystal structure of Tl2HgSe.

Cell lengths 4.7575, 4.7575, 10.2530 Å; angles 90.00, 90.00, 90.00 degrees
With the nearest neighbours (Å) after each atom.
Space group I-4m2 (No. 119)
Asymmetric unit:
Tl  0.0000  0.0000  0.0000 (multiplicity 2)  4 Se 3.36, 4 Hg 3.50, 4 Tl 3.50
Tl  0.0000  0.5000  0.2500 (multiplicity 2)  4 Hg 3.36, 4 Se 3.50, 4 Tl 3.50
Hg  0.0000  0.5000  0.7500 (multiplicity 2)  8 Tl 3.36-3.50, 4 Se 3.50
Se  0.0000  0.0000  0.5000 (multiplicity 2)  8 Tl 3.36-3.50, 4 Hg 3.50

Computed properties:
calculated volume = 116.0 Å³/f.u.
spin magnetization = 0.000 μB per atom

y:
## Tl2HgSe (PBE-GGA)

Data for an optimized crystal structure of Tl2HgSe.

Cell lengths 7.8043, 7.8043, 7.8043 Å; angles 90.00, 90.00, 90.00 degrees
With the nearest neighbours (Å) after each atom.
Space group Fm-3m (No. 225)
Asymmetric unit:
Tl  0.2500  0.2500  0.2500 (multiplicity 8)  4 Hg 3.38, 4 Se 3.38
Hg  0.0000  0.0000  0.0000 (multiplicity 4)  8 Tl 3.38
Se  0.0000  0.0000  0.5000 (multiplicity 4)  8 Tl 3.38

Computed properties:
calculated volume = 118.8 Å³/f.u.
spin magnetization = 0.000 μB per atom

z:
## Tl2HgSe (PBE-GGA)

Data for an optimized crystal structure of Tl2HgSe.

Cell lengths 5.4112, 5.4359, 8.6351 Å; angles 90.00, 90.00, 90.00 degrees
With the nearest neighbours (Å) after each atom.
Space group Cmmm (No. 65)
Asymmetric unit:
Tl  0.0000  0.0000  0.1998 (multiplicity 4)  4 Se 3.21-3.22, 1 Tl 3.45
Hg  0.0000  0.5000  0.5000 (multiplicity 2)  8 Tl 3.75-3.76, 4 Hg 3.84
Se  0.0000  0.5000  0.0000 (multiplicity 2)  8 Tl 3.21-3.22

Computed properties:
calculated volume = 127.0 Å³/f.u.
spin magnetization = 0.000 μB per atom

Energy relative to the most stable one, in eV/atom: w 0.000; x 0.138; y 0.054; z 0.041

w:
## Tl2HgSe (PBE-GGA)

Data for an optimized crystal structure of Tl2HgSe.

Cell lengths 7.7712, 7.7712, 7.7712 Å; angles 90.00, 90.00, 90.00 degrees
With the nearest neighbours (Å) after each atom.
Space group F-43m (No. 216)
Asymmetric unit:
Tl  0.0000  0.0000  0.0000 (multiplicity 4)  4 Tl 3.37, 4 Se 3.37
Tl  0.2500  0.2500  0.2500 (multiplicity 4)  4 Hg 3.37, 4 Tl 3.37
Hg  0.0000  0.0000  0.5000 (multiplicity 4)  4 Tl 3.37, 4 Se 3.37
Se  0.2500  0.2500  0.7500 (multiplicity 4)  4 Hg 3.37, 4 Tl 3.37

Computed properties:
calculated volume = 117.3 Å³/f.u.
spin magnetization = 0.000 μB per atom

x:
## Tl2HgSe (PBE-GGA)

Data for an optimized crystal structure of Tl2HgSe.

Cell lengths 4.3726, 4.4241, 12.5811 Å; angles 90.00, 90.00, 90.00 degrees
With the nearest neighbours (Å) after each atom.
Space group Immm (No. 71)
Asymmetric unit:
Tl  0.0000  0.0000  0.2324 (multiplicity 4)  1 Se 2.92, 4 Tl 3.14
Hg  0.0000  0.0000  0.5000 (multiplicity 2)  4 Se 3.11, 2 Tl 3.37
Se  0.0000  0.0000  0.0000 (multiplicity 2)  2 Tl 2.92, 4 Hg 3.11

Computed properties:
calculated volume = 121.7 Å³/f.u.
spin magnetization = 0.000 μB per atom

Energy relative to the most stable one, in eV/atom: w 0.000; x 0.072

w:
## Tl2HgSe (PBE-GGA)

Data for an optimized crystal structure of Tl2HgSe.

Cell lengths 5.5919, 5.6165, 7.5177 Å; angles 90.00, 90.00, 90.00 degrees
With the nearest neighbours (Å) after each atom.
Space group Cmm2 (No. 35)
Asymmetric unit:
Tl  0.0000  0.0000  0.0000 (multiplicity 2)  4 Hg 3.24-3.25, 1 Se 3.32
Tl  0.0000  0.5000  0.3529 (multiplicity 2)  4 Se 3.20-3.21, 1 Hg 3.23
Hg  0.0000  0.5000  0.7828 (multiplicity 2)  5 Tl 3.23-3.25, 4 Se 3.26-3.27
Se  0.0000  0.0000  0.5589 (multiplicity 2)  5 Tl 3.20-3.32, 4 Hg 3.26-3.27

Computed properties:
calculated volume = 118.1 Å³/f.u.
spin magnetization = 0.000 μB per atom

x:
## Tl2HgSe (PBE-GGA)

Data for an optimized crystal structure of Tl2HgSe.

Cell lengths 5.5323, 4.3970, 5.7447 Å; angles 90.00, 109.58, 90.00 degrees
With the nearest neighbours (Å) after each atom.
Space group Pm (No. 6)
Asymmetric unit:
Tl  0.0000  0.0000  0.0000 (multiplicity 1)  2 Se 2.95, 1 Hg 3.26
Tl  0.3081  0.5000  0.6774 (multiplicity 1)  1 Se 3.02, 2 Hg 3.22
Hg  0.5832  0.0000  0.4419 (multiplicity 1)  2 Se 3.01, 3 Tl 3.22-3.26
Se  0.7418  0.5000  0.1665 (multiplicity 1)  3 Tl 2.95-3.02, 2 Hg 3.01

Computed properties:
calculated volume = 131.7 Å³/f.u.
spin magnetization = 0.000 μB per atom

Energy relative to the most stable one, in eV/atom: w 0.082; x 0.000

w:
## Tl6HgSe3 (PBE-GGA)

Data for an optimized crystal structure of Tl6HgSe3.

Cell lengths 11.7156, 13.1993, 9.0444 Å; angles 90.00, 90.00, 90.00 degrees
With the nearest neighbours (Å) after each atom.
Space group Cmc2_1 (No. 36)
Asymmetric unit:
Tl  0.0000  0.0507  0.0000 (multiplicity 4)  4 Se 3.26-3.36, 2 Hg 3.34-3.36
Tl  0.0000  0.2231  0.3228 (multiplicity 4)  3 Se 2.98-3.17, 1 Hg 3.25
Tl  0.1532  0.4538  0.5089 (multiplicity 8)  3 Se 3.07-3.17
Tl  0.1962  0.2623  0.8921 (multiplicity 8)  2 Se 2.95-2.98, 1 Hg 3.25
Hg  0.0000  0.1725  0.6743 (multiplicity 4)  5 Tl 3.25-3.36
Se  0.0000  0.3500  0.0509 (multiplicity 4)  5 Tl 2.95-3.17
Se  0.1879  0.0522  0.2801 (multiplicity 8)  5 Tl 2.98-3.26

Computed properties:
calculated volume = 349.6 Å³/f.u.
spin magnetization = 0.000 μB per atom

x:
## Tl6HgSe3 (PBE-GGA)

Data for an optimized crystal structure of Tl6HgSe3.

Cell lengths 12.8976, 4.4356, 12.9650 Å; angles 90.00, 112.47, 90.00 degrees
With the nearest neighbours (Å) after each atom.
Space group P2_1/m (No. 11)
Asymmetric unit:
Tl  0.0316  0.2500  0.2399 (multiplicity 2)  3 Se 3.02-3.12
Tl  0.1212  0.7500  0.5055 (multiplicity 2)  2 Se 2.99
Tl  0.1565  0.2500  0.0000 (multiplicity 2)  3 Se 3.02-3.31
Tl  0.3399  0.7500  0.3427 (multiplicity 2)  3 Se 2.97-3.11
Tl  0.3539  0.7500  0.9409 (multiplicity 2)  3 Se 3.05-3.09
Tl  0.4310  0.2500  0.7274 (multiplicity 2)  3 Se 3.07-3.40, 1 Tl 3.41, 1 Hg 3.43
Hg  0.1664  0.2500  0.7307 (multiplicity 2)  9 Tl 3.43-3.80
Se  0.1264  0.7500  0.1440 (multiplicity 2)  5 Tl 2.97-3.02
Se  0.2507  0.2500  0.4555 (multiplicity 2)  5 Tl 2.99-3.12
Se  0.4340  0.2500  0.1153 (multiplicity 2)  6 Tl 3.05-3.31

Computed properties:
calculated volume = 342.7 Å³/f.u.
spin magnetization = 0.000 μB per atom

Energy relative to the most stable one, in eV/atom: w 0.025; x 0.000

w:
## Tm4HgSe2 (PBE-GGA)

Data for an optimized crystal structure of Tm4HgSe2.

Cell lengths 3.8389, 3.8389, 42.4889 Å; angles 90.00, 90.00, 120.00 degrees
With the nearest neighbours (Å) after each atom.
Space group R-3m (No. 166, hexagonal axes)
Asymmetric unit:
Tm  0.0000  0.0000  0.1346 (multiplicity 6)  3 Se 2.88
Tm  0.0000  0.0000  0.2839 (multiplicity 6)  3 Se 2.84, 3 Hg 3.05
Hg  0.0000  0.0000  0.0000 (multiplicity 3)  6 Tm 3.05
Se  0.0000  0.0000  0.4245 (multiplicity 6)  6 Tm 2.84-2.88

Computed properties:
calculated volume = 180.8 Å³/f.u.
spin magnetization = 0.091 μB per atom

x:
## Tm4HgSe2 (PBE-GGA)

Data for an optimized crystal structure of Tm4HgSe2.

Cell lengths 4.0143, 12.9615, 13.7679 Å; angles 90.00, 90.00, 90.00 degrees
With the nearest neighbours (Å) after each atom.
Space group Cmcm (No. 63)
Asymmetric unit:
Tm  0.0000  0.0000  0.0000 (multiplicity 4)  4 Se 2.80
Tm  0.0000  0.2739  0.1255 (multiplicity 8)  3 Se 2.78-2.83, 2 Hg 3.05
Tm  0.0000  0.4355  0.7500 (multiplicity 4)  2 Se 2.80, 2 Hg 3.01
Hg  0.0000  0.1082  0.7500 (multiplicity 4)  6 Tm 3.01-3.05
Se  0.0000  0.3623  0.5586 (multiplicity 8)  6 Tm 2.78-2.83

Computed properties:
calculated volume = 179.1 Å³/f.u.
spin magnetization = 0.000 μB per atom

Energy relative to the most stable one, in eV/atom: w 0.036; x 0.000